No. 1
A plane-wave DFT calculation with PBE was carried out for a geometry-optimized TlCo2Cl6 structure.

Values from the calculation:
**D(E_F)**: 17.53 states/eV per cell
**Space group**: C2/c (15)
**Formation energy (no corrections)**: -63.5 kJ/mol of atoms
**Energy**: -3.731 eV per atom

abc: 9.6480 9.6480 6.3480
angles: 96.16 96.16 91.00
Last column: nearest neighbours and their distance in Å.
Fractional coordinates of all 18 atoms:
Tl1 0.1330 0.8670 0.7500  4 Cl 3.14-3.22
Tl2 0.8670 0.1330 0.2500  4 Cl 3.14-3.22
Co1 0.2164 0.3688 0.7431  4 Cl 2.16-2.27
Co2 0.3688 0.2164 0.2431  4 Cl 2.16-2.27
Co3 0.6312 0.7836 0.7569  4 Cl 2.16-2.27
Co4 0.7836 0.6312 0.2569  4 Cl 2.16-2.27
Cl1 0.0430 0.2161 0.7088  1 Co 2.19
Cl2 0.1784 0.5711 0.9042  1 Co 2.16
Cl3 0.2161 0.0430 0.2088  1 Co 2.19
Cl4 0.2780 0.4036 0.4168  2 Co 2.25-2.27
Cl5 0.4036 0.2780 0.9168  2 Co 2.25-2.27
Cl6 0.4289 0.8216 0.5958  1 Co 2.16
Cl7 0.5711 0.1784 0.4042  1 Co 2.16
Cl8 0.5964 0.7220 0.0832  2 Co 2.25-2.27
Cl9 0.7220 0.5964 0.5832  2 Co 2.25-2.27
Cl10 0.7839 0.9570 0.7912  1 Co 2.19
Cl11 0.8216 0.4289 0.0958  1 Co 2.16
Cl12 0.9570 0.7839 0.2912  1 Co 2.19

=====

No. 2
A plane-wave DFT calculation with PBE was carried out for a geometry-optimized LiZnRu2 structure.

Values from the calculation:
**D(E_F)**: 8.17 states/eV per cell
**Space group**: I-42d (122)
**Energy**: -4.864 eV per atom
**DFT formation energy**: 571 meV per atom

abc: 5.3996 5.3996 5.3996
angles: 102.06 102.06 125.59
Last column: nearest neighbours and their distance in Å.
Fractional coordinates of all 8 atoms:
Li1 0.0000 0.0000 0.0000  4 Ru 2.43, 2 Zn 2.47
Li2 0.7500 0.2500 0.5000  4 Ru 2.43, 2 Zn 2.47
Zn1 0.2500 0.7500 0.5000  2 Li 2.47, 4 Ru 2.53
Zn2 0.5000 0.5000 0.0000  2 Li 2.47, 4 Ru 2.53
Ru1 0.1136 0.6250 0.9886  2 Li 2.43, 2 Ru 2.47, 2 Zn 2.53
Ru2 0.3750 0.3636 0.4886  2 Li 2.43, 2 Ru 2.47, 2 Zn 2.53
Ru3 0.6364 0.1250 0.0114  2 Li 2.43, 2 Ru 2.47, 2 Zn 2.53
Ru4 0.8750 0.8864 0.5114  2 Li 2.43, 2 Ru 2.47, 2 Zn 2.53

=====

No. 3
A plane-wave DFT calculation with PBE was carried out for a geometry-optimized CeZn17Ag structure.

Values from the calculation:
**D(E_F)**: 11.31 states/eV per cell
**Space group**: R3m (160)
**Energy**: -1.689 eV per atom
**DFT formation energy**: -87 meV per atom

abc: 6.8307 6.8307 6.8307
angles: 82.13 82.13 82.13
Last column: nearest neighbours and their distance in Å.
Fractional coordinates of all 19 atoms:
Ce1 0.0000 0.0000 0.0000  19 Zn 3.18-3.46, 1 Ag 3.36
Zn1 0.0101 0.0101 0.5032  9 Zn 2.58-2.84, 1 Ag 2.76
Zn2 0.0101 0.5032 0.0101  9 Zn 2.58-2.84, 1 Ag 2.76
Zn3 0.1634 0.6745 0.6745  10 Zn 2.58-2.75
Zn4 0.3160 0.3160 0.8161  9 Zn 2.59-2.79
Zn5 0.3160 0.8161 0.3160  9 Zn 2.59-2.79
Zn6 0.3635 0.6549 0.9781  8 Zn 2.61-2.90
Zn7 0.3635 0.9781 0.6549  8 Zn 2.61-2.90
Zn8 0.5032 0.0101 0.0101  9 Zn 2.58-2.84, 1 Ag 2.76
Zn9 0.5603 0.5603 0.5603  7 Zn 2.67-2.79
Zn10 0.6549 0.3635 0.9781  8 Zn 2.61-2.90
Zn11 0.6549 0.9781 0.3635  8 Zn 2.61-2.90
Zn12 0.6745 0.1634 0.6745  10 Zn 2.58-2.75
Zn13 0.6745 0.6745 0.1634  10 Zn 2.58-2.75
Zn14 0.7606 0.7606 0.7606  7 Zn 2.67-2.84
Zn15 0.8161 0.3160 0.3160  9 Zn 2.59-2.79
Zn16 0.9781 0.3635 0.6549  8 Zn 2.61-2.90
Zn17 0.9781 0.6549 0.3635  8 Zn 2.61-2.90
Ag1 0.2520 0.2520 0.2520  6 Zn 2.76-2.93

=====

No. 4
A plane-wave DFT calculation with PBE was carried out for a geometry-optimized FeGe2Pt structure.

Values from the calculation:
**D(E_F)**: 3.49 states/eV per cell
**Space group**: R-3m (166)
**Energy**: -5.739 eV per atom
**DFT formation energy**: 196 meV per atom

abc: 9.0322 9.0322 9.0322
angles: 18.81 18.81 18.81
Last column: nearest neighbours and their distance in Å.
Fractional coordinates of all 4 atoms:
Fe1 0.0000 0.0000 0.0000  2 Ge 2.40
Ge1 0.0902 0.0902 0.0902  1 Fe 2.40, 3 Pt 2.65
Ge2 0.9098 0.9098 0.9098  1 Fe 2.40, 3 Pt 2.65
Pt1 0.5000 0.5000 0.5000  6 Ge 2.65, 6 Pt 2.95

=====

No. 5
A plane-wave DFT calculation with PBE was carried out for a geometry-optimized ZnSiAg2Se4 structure.

Values from the calculation:
**Space group**: I-4 (82)
**Formation energy (no corrections)**: -37.3 kJ/mol of atoms
**Energy**: -3.678 eV per atom

abc: 6.9530 6.9530 6.9530
angles: 128.75 128.75 75.41
Last column: nearest neighbours and their distance in Å.
Fractional coordinates of all 8 atoms:
Zn1 0.0000 0.0000 0.0000  4 Se 2.49
Si1 0.7500 0.2500 0.5000  4 Se 2.32
Ag1 0.2500 0.7500 0.5000  4 Se 2.70
Ag2 0.5000 0.5000 0.0000  4 Se 2.65
Se1 0.0820 0.1350 0.4765  1 Si 2.32, 1 Zn 2.49
Se2 0.3945 0.9180 0.0530  1 Si 2.32, 1 Zn 2.49
Se3 0.6585 0.6055 0.5235  1 Si 2.32, 1 Zn 2.49
Se4 0.8650 0.3415 0.9470  1 Si 2.32, 1 Zn 2.49

=====

No. 6
A plane-wave DFT calculation with PBE was carried out for a geometry-optimized LiYZnGa structure.

Values from the calculation:
**D(E_F)**: 2.18 states/eV per cell
**Space group**: F-43m (216)
**Energy**: -3.557 eV per atom
**DFT formation energy**: -387 meV per atom

abc: 4.7926 4.7926 4.7926
angles: 60.00 60.00 60.00
Last column: nearest neighbours and their distance in Å.
Fractional coordinates of all 4 atoms:
Li1 0.0000 0.0000 0.0000  4 Zn 2.93, 4 Ga 2.93
Y1 0.5000 0.5000 0.5000  4 Ga 2.93, 4 Zn 2.93
Zn1 0.2500 0.2500 0.2500  4 Y 2.93, 4 Li 2.93
Ga1 0.7500 0.7500 0.7500  4 Y 2.93, 4 Li 2.93

=====

No. 7
A plane-wave DFT calculation with PBE was carried out for a geometry-optimized AlS2Cl8 structure.

Values from the calculation:
**D(E_F)**: 5.85 states/eV per cell
**Space group**: C2/m (12)
**Formation energy (no corrections)**: -48.5 kJ/mol of atoms
**Energy**: -2.936 eV per atom

abc: 8.5138 8.5138 6.2999
angles: 90.30 90.30 59.73
Last column: nearest neighbours and their distance in Å.
Fractional coordinates of all 11 atoms:
Al1 0.0000 0.0000 0.0000  4 Cl 2.21
S1 0.2684 0.2684 0.6974  2 Cl 2.01
S2 0.7316 0.7316 0.3026  2 Cl 2.01
Cl1 0.0909 0.7208 0.1097  1 Al 2.21
Cl2 0.2214 0.2214 0.3979  1 S 2.01
Cl3 0.2792 0.9091 0.8903  1 Al 2.21
Cl4 0.4035 0.4035 0.6654  1 S 2.01
Cl5 0.5965 0.5965 0.3346  1 S 2.01
Cl6 0.7208 0.0909 0.1097  1 Al 2.21
Cl7 0.7786 0.7786 0.6021  1 S 2.01
Cl8 0.9091 0.2792 0.8903  1 Al 2.21

=====

No. 8
A plane-wave DFT calculation with PBE was carried out for a geometry-optimized ZnCu2AsO6 structure.

Values from the calculation:
**D(E_F)**: 3.90 states/eV per cell
**Space group**: C2/c (15)
**Formation energy (no corrections)**: -76.8 kJ/mol of atoms
**Energy**: -5.183 eV per atom

abc: 6.4288 6.4288 5.4902
angles: 102.96 102.96 94.52
Last column: nearest neighbours and their distance in Å.
Fractional coordinates of all 20 atoms:
Zn1 0.0906 0.9094 0.7500  6 O 2.07-2.18
Zn2 0.9094 0.0906 0.2500  6 O 2.07-2.18
Cu1 0.2762 0.4459 0.8451  4 O 1.87-1.98
Cu2 0.4459 0.2762 0.3451  4 O 1.87-1.98
Cu3 0.5541 0.7238 0.6549  4 O 1.87-1.98
Cu4 0.7238 0.5541 0.1549  4 O 1.87-1.98
As1 0.2280 0.7720 0.2500  6 O 1.84-2.01
As2 0.7720 0.2280 0.7500  6 O 1.84-2.01
O1 0.0395 0.2154 0.6643  1 As 1.89, 1 Cu 1.95
O2 0.0884 0.6472 0.9100  1 As 1.84, 1 Cu 1.87
O3 0.2154 0.0395 0.1643  1 As 1.89, 1 Cu 1.95
O4 0.3043 0.5286 0.4114  2 Cu 1.93-1.98, 1 As 2.01
O5 0.3528 0.9116 0.5900  1 As 1.84, 1 Cu 1.87
O6 0.4714 0.6957 0.0886  2 Cu 1.93-1.98, 1 As 2.01
O7 0.5286 0.3043 0.9114  2 Cu 1.93-1.98, 1 As 2.01
O8 0.6472 0.0884 0.4100  1 As 1.84, 1 Cu 1.87
O9 0.6957 0.4714 0.5886  2 Cu 1.93-1.98, 1 As 2.01
O10 0.7846 0.9605 0.8357  1 As 1.89, 1 Cu 1.95
O11 0.9116 0.3528 0.0900  1 As 1.84, 1 Cu 1.87
O12 0.9605 0.7846 0.3357  1 As 1.89, 1 Cu 1.95

=====

No. 9
A plane-wave DFT calculation with PBE was carried out for a geometry-optimized La2BeGe4Rh3 structure.

Values from the calculation:
**D(E_F)**: 7.78 states/eV per cell
**Space group**: P-4m2 (115)
**Energy**: -6.151 eV per atom
**DFT formation energy**: -741 meV per atom

abc: 4.3076 4.3076 10.0739
angles: 90.00 90.00 90.00
Last column: nearest neighbours and their distance in Å.
Fractional coordinates of all 10 atoms:
La1 0.0000 0.5000 0.2478  8 Ge 3.28-3.33, 2 Be 3.30, 6 Rh 3.30
La2 0.5000 0.0000 0.7522  8 Ge 3.28-3.33, 2 Be 3.30, 6 Rh 3.30
Be1 0.5000 0.5000 0.0000  4 Ge 2.51
Ge1 0.0000 0.0000 0.5000  4 Rh 2.50
Ge2 0.0000 0.5000 0.8726  3 Rh 2.49-2.51, 2 Be 2.51
Ge3 0.5000 0.0000 0.1274  3 Rh 2.49-2.51, 2 Be 2.51
Ge4 0.5000 0.5000 0.5000  4 Rh 2.50
Rh1 0.0000 0.0000 0.0000  4 Ge 2.51
Rh2 0.0000 0.5000 0.6258  5 Ge 2.49-2.50
Rh3 0.5000 0.0000 0.3742  5 Ge 2.49-2.50

=====

No. 10
A plane-wave DFT calculation with PBE was carried out for a geometry-optimized V2FeAsW structure.

Values from the calculation:
**D(E_F)**: 7.45 states/eV per cell
**Space group**: P4/mmm (123)
**Energy**: -7.978 eV per atom
**DFT formation energy**: 883 meV per atom

abc: 4.2730 4.2730 4.5228
angles: 90.00 90.00 90.00
Last column: nearest neighbours and their distance in Å.
Fractional coordinates of all 5 atoms:
V1 0.0000 0.5000 0.0000  2 Fe 2.14
V2 0.5000 0.0000 0.0000  2 Fe 2.14
Fe1 0.0000 0.0000 0.0000  4 V 2.14, 2 W 2.26
As1 0.5000 0.5000 0.5000  4 W 3.02, 8 V 3.11
W1 0.0000 0.0000 0.5000  2 Fe 2.26

=====

No. 11
A plane-wave DFT calculation with PBE was carried out for a geometry-optimized TiMnTe3 structure.

Values from the calculation:
**D(E_F)**: 4.21 states/eV per cell
**Space group**: C2/m (12)
**Formation energy (no corrections)**: -35.3 kJ/mol of atoms
**Energy**: -5.663 eV per atom

abc: 7.1334 7.1334 6.9526
angles: 99.78 99.78 123.32
Last column: nearest neighbours and their distance in Å.
Fractional coordinates of all 10 atoms:
Ti1 0.1566 0.8434 0.0000  6 Te 2.79-2.82
Ti2 0.8434 0.1566 0.0000  6 Te 2.79-2.82
Mn1 0.3450 0.6550 0.5000  6 Te 2.76-2.88
Mn2 0.6550 0.3450 0.5000  6 Te 2.76-2.88
Te1 0.0552 0.4259 0.7457  2 Mn 2.76-2.88, 2 Ti 2.82
Te2 0.2916 0.2916 0.2051  2 Ti 2.79, 2 Mn 2.81
Te3 0.4259 0.0552 0.7457  2 Mn 2.76-2.88, 2 Ti 2.82
Te4 0.5741 0.9448 0.2543  2 Mn 2.76-2.88, 2 Ti 2.82
Te5 0.7084 0.7084 0.7949  2 Ti 2.79, 2 Mn 2.81
Te6 0.9448 0.5741 0.2543  2 Mn 2.76-2.88, 2 Ti 2.82

=====

No. 12
A plane-wave DFT calculation with PBE was carried out for a geometry-optimized PrPuAl6 structure.

Values from the calculation:
**D(E_F)**: 10.20 states/eV per cell
**Space group**: P-6m2 (187)
**Energy**: -5.546 eV per atom
**DFT formation energy**: -350 meV per atom

abc: 6.3276 6.3276 4.6857
angles: 90.00 90.00 120.00
Last column: nearest neighbours and their distance in Å.
Fractional coordinates of all 8 atoms:
Pr1 0.0000 0.0000 0.0000  12 Al 3.12-3.17
Pu1 0.6667 0.3333 0.5000  12 Al 3.08-3.17
Al1 0.0313 0.5156 0.0000  6 Al 2.85-2.87, 2 Pu 3.08, 2 Pr 3.17
Al2 0.1877 0.3754 0.5000  6 Al 2.76-2.85
Al3 0.1877 0.8123 0.5000  6 Al 2.76-2.85
Al4 0.4844 0.5156 0.0000  6 Al 2.85-2.87, 2 Pu 3.08, 2 Pr 3.17
Al5 0.4844 0.9687 0.0000  6 Al 2.85-2.87, 2 Pu 3.08, 2 Pr 3.17
Al6 0.6246 0.8123 0.5000  6 Al 2.76-2.85